[1]
VASP calculation (PBE) on an optimized crystal structure of ErSbS3.

abc: 6.896 6.761 6.761
angles: 120.00 90.00 90.00
Element x y z (fractional)
S 0.750 0.970 0.672
S 0.250 0.702 0.672
S 0.250 0.328 0.030
S 0.750 0.702 0.030
S 0.250 0.970 0.298
S 0.750 0.328 0.298
Er 0.000 0.000 0.000
Er 0.500 0.000 0.000
Sb 0.500 0.667 0.333
Sb 0.000 0.667 0.333

Values from the calculation:
The value obtained for the volume is 272.97 Å³/cell. As for the energy relative to the lowest polymorph listed for this composition: 138 meV per atom. Its space group is P-6c2.

---

[2]
VASP calculation (PBE) on an optimized crystal structure of Er2Sb2S7.

abc: 3.948 9.041 9.041
angles: 60.15 77.39 77.39
Element x y z (fractional)
Sb 0.767 0.730 0.736
Sb 0.233 0.264 0.270
S 0.570 0.575 0.285
S 0.500 0.038 0.962
S 0.430 0.715 0.425
S 0.813 0.064 0.311
S 0.878 0.421 0.824
S 0.187 0.689 0.936
S 0.122 0.176 0.579
Er 0.500 0.334 0.666
Er 0.000 0.847 0.153

Values from the calculation:
The value obtained for the total DFT energy (no corrections) is -5.17 eV/atom. The value obtained for the volume is 270.83 Å³/cell. Its space group is Imm2.

---

[3]
VASP calculation (PBE) on an optimized crystal structure of ErSbS2.

abc: 3.946 3.946 8.676
angles: 76.86 76.86 60.00
Element x y z (fractional)
Sb 0.500 0.500 0.500
S 0.894 0.894 0.317
S 0.106 0.106 0.683
Er 0.000 0.000 0.000

Values from the calculation:
The value obtained for the total DFT energy (no corrections) is -4.63 eV/atom. The value obtained for the volume is 112.88 Å³/cell. Its space group is R-3m.

---

[4]
VASP calculation (PBE) on an optimized crystal structure of Er3Sb2S2.

abc: 3.992 7.596 7.859
angles: 113.83 104.71 90.00
Element x y z (fractional)
S 0.139 0.360 0.278
S 0.861 0.640 0.722
Er 0.725 0.261 0.449
Er 0.275 0.739 0.551
Er 0.000 0.500 0.000
Sb 0.370 0.186 0.739
Sb 0.630 0.814 0.261

Values from the calculation:
The value obtained for the total DFT energy (no corrections) is -5.66 eV/atom. The value obtained for the volume is 209.41 Å³/cell. Its space group is C2/m.

---

[5]
VASP calculation (PBE) on an optimized crystal structure of ErSbS3.

abc: 3.923 7.019 9.891
angles: 89.23 90.00 90.00
Element x y z (fractional)
Sb 0.250 0.588 0.814
Sb 0.750 0.412 0.186
Er 0.250 0.925 0.174
Er 0.750 0.075 0.826
S 0.250 0.220 0.991
S 0.750 0.098 0.314
S 0.250 0.578 0.314
S 0.750 0.422 0.686
S 0.750 0.780 0.009
S 0.250 0.902 0.686

Values from the calculation:
The value obtained for the volume is 272.35 Å³/cell. As for the energy relative to the lowest polymorph listed for this composition: 0 meV per atom. Its space group is P2_1/m.

---

[6]
VASP calculation (PBE) on an optimized crystal structure of Er3SbS2.

abc: 8.645 7.713 7.713
angles: 54.82 55.92 55.92
Element x y z (fractional)
Er 0.500 0.229 0.771
Er 0.000 0.729 0.271
Er 0.500 0.771 0.229
Er 0.500 0.000 0.500
Er 0.000 0.271 0.729
Er 0.500 0.500 0.000
Sb 0.187 0.250 0.250
Sb 0.813 0.750 0.750
S 0.647 0.558 0.558
S 0.738 0.058 0.058
S 0.353 0.442 0.442
S 0.262 0.942 0.942

Values from the calculation:
The value obtained for the volume is 326.01 Å³/cell. As for the energy relative to the lowest polymorph listed for this composition: 90 meV per atom. Its space group is Imma.

---

Copy entry 3 word for word.
VASP calculation (PBE) on an optimized crystal structure of ErSbS2.

abc: 3.946 3.946 8.676
angles: 76.86 76.86 60.00
Element x y z (fractional)
Sb 0.500 0.500 0.500
S 0.894 0.894 0.317
S 0.106 0.106 0.683
Er 0.000 0.000 0.000

Values from the calculation:
The value obtained for the total DFT energy (no corrections) is -4.63 eV/atom. The value obtained for the volume is 112.88 Å³/cell. Its space group is R-3m.